Record 1
VASP calculation (PBE) on CaNbAu after structural relaxation.

Computed properties:
- ΔH_f (0 K) (eV per atom) = -0.041
- ΔE to the lowest computed polymorph (eV per atom) = 0.197
- final energy (eV/atom) = -5.16
- magnetic moment (μB/cell) = 0.00

a b c (Å): 11.339 3.421 7.563
angles (deg): 90.00 109.66 90.00
Space group Cm (No. 8)
One atom of each set of equivalent atoms:
Ca (0.000, 0.000, 0.000)
Ca (0.183, 0.500, 0.747)
Nb (0.306, 0.000, 0.192)
Nb (0.458, 0.500, 0.411)
Au (0.150, 0.500, 0.331)
Au (0.382, 0.000, 0.654)


Record 2
VASP calculation (PBE) on Ta3Nb4Cu after structural relaxation.

Computed properties:
- ΔH_f (0 K) (eV per atom) = 0.023
- final energy (eV/atom) = -9.97
- magnetic moment (μB/cell) = 0.00

a b c (Å): 3.335 3.335 12.631
angles (deg): 90.00 90.00 90.00
Space group P4/mmm (No. 123)
One atom of each set of equivalent atoms:
Ta (0.000, 0.000, 0.000)
Ta (0.000, 0.000, 0.260)
Nb (0.500, 0.500, 0.131)
Nb (0.500, 0.500, 0.387)
Cu (0.000, 0.000, 0.500)


Record 3
VASP calculation (PBE) on BaCd2In9 after structural relaxation.

Computed properties:
- ΔH_f (0 K) (eV per atom) = -0.042
- ΔE to the lowest computed polymorph (eV per atom) = 0.066
- final energy (eV/atom) = -2.41
- magnetic moment (μB/cell) = 0.00

a b c (Å): 10.3680 10.3680 3.6668
angles (deg): 90.00 90.00 120.00
Space group P6/mmm (No. 191)
One atom of each set of equivalent atoms:
Ba (0.0000, 0.0000, 0.0000)
Cd (0.3333, 0.6667, 0.0000)
In (0.0000, 0.5000, 0.0000)
In (0.1851, 0.3702, 0.5000)


Record 4
VASP calculation (PBE) on ZrTaTc after structural relaxation.

Computed properties:
- ΔH_f (0 K) (eV per atom) = -0.307
- ΔE to the lowest computed polymorph (eV per atom) = 0.000
- final energy (eV/atom) = -10.56
- magnetic moment (μB/cell) = 0.00

a b c (Å): 5.381 5.597 7.499
angles (deg): 90.00 90.00 90.00
Space group Imma (No. 74)
One atom of each set of equivalent atoms:
Zr (0.000, 0.250, 0.121)
Ta (0.000, 0.000, 0.500)
Tc (0.250, 0.250, 0.750)


Record 5
VASP calculation (PBE) on Ac2InPt after structural relaxation.

Computed properties:
- ΔH_f (0 K) (eV per atom) = -0.717
- final energy (eV/atom) = -4.97
- magnetic moment (μB/cell) = 0.00

a b c (Å): 4.3059 4.3059 26.2628
angles (deg): 90.00 90.00 120.00
Space group R-3m (No. 166, hexagonal axes)
One atom of each set of equivalent atoms:
Ac (0.0000, 0.0000, 0.2343)
In (0.0000, 0.0000, 0.0000)
Pt (0.0000, 0.0000, 0.5000)


Record 6
VASP calculation (PBE) on KI after structural relaxation.

Computed properties:
- final energy (eV/atom) = -2.76
- magnetic moment (μB/cell) = 0.00
- ΔE_f (raw) (eV per atom) = -1.43

a b c (Å): 11.979 11.979 7.076
angles (deg): 90.00 90.00 90.00
Space group I4/m (No. 87)
One atom of each set of equivalent atoms:
K (0.143, 0.352, 0.000)
I (0.146, 0.349, 0.500)


Record 7
VASP calculation (PBE) on BaBTeI2 after structural relaxation.

Computed properties:
- ΔE to the lowest computed polymorph (eV per atom) = 0.818
- final energy (eV/atom) = -2.40
- magnetic moment (μB/cell) = 1.01
- ΔE_f (raw) (eV per atom) = 0.57

a b c (Å): 6.703 6.703 6.955
angles (deg): 90.00 90.00 90.00
Space group P4/mmm (No. 123)
One atom of each set of equivalent atoms:
Ba (0.000, 0.000, 0.000)
B (0.500, 0.500, 0.500)
Te (0.000, 0.000, 0.500)
I (0.000, 0.500, 0.000)


Record 8
VASP calculation (PBE) on K2NiMo4 after structural relaxation.

Computed properties:
- ΔH_f (0 K) (eV per atom) = 1.955
- final energy (eV/atom) = -5.37
- magnetic moment (μB/cell) = 8.34

a b c (Å): 4.652 4.652 18.675
angles (deg): 90.00 90.00 90.00
Space group I4/mmm (No. 139)
One atom of each set of equivalent atoms:
K (0.000, 0.000, 0.164)
Ni (0.000, 0.000, 0.500)
Mo (0.000, 0.000, 0.379)
Mo (0.000, 0.500, 0.000)


Record 9
VASP calculation (PBE) on MnTeAuBr2 after structural relaxation.

Computed properties:
- final energy (eV/atom) = -3.29
- magnetic moment (μB/cell) = 5.97
- ΔE_f (raw) (eV per atom) = 0.49

a b c (Å): 5.086 5.086 5.876
angles (deg): 90.00 90.00 90.00
Space group P4/mmm (No. 123)
One atom of each set of equivalent atoms:
Mn (0.000, 0.000, 0.000)
Te (0.500, 0.500, 0.000)
Au (0.000, 0.000, 0.500)
Br (0.000, 0.500, 0.500)


Record 10
VASP calculation (PBE) on GeTeC3 after structural relaxation.

Computed properties:
- ΔE to the lowest computed polymorph (eV per atom) = 0.000
- final energy (eV/atom) = -4.55
- magnetic moment (μB/cell) = 0.00
- ΔE_f (raw) (eV per atom) = 2.54

a b c (Å): 4.045 4.045 4.045
angles (deg): 90.00 90.00 90.00
Space group Pm-3m (No. 221)
One atom of each set of equivalent atoms:
Ge (0.000, 0.000, 0.000)
Te (0.500, 0.500, 0.500)
C (0.000, 0.000, 0.500)


Record 11
VASP calculation (PBE) on Pm8Si2Sn after structural relaxation.

Computed properties:
- final energy (eV/atom) = -5.15
- magnetic moment (μB/cell) = 0.00
- ΔE_f (raw) (eV per atom) = -0.34

a b c (Å): 8.794 13.744 5.655
angles (deg): 90.00 106.07 90.00
Space group C2/m (No. 12)
One atom of each set of equivalent atoms:
Pm (0.000, 0.243, 0.000)
Pm (0.097, 0.500, 0.796)
Pm (0.195, 0.122, 0.581)
Si (0.000, 0.308, 0.500)
Sn (0.000, 0.000, 0.000)


Record 12
VASP calculation (PBE) on BeTlS6 after structural relaxation.

Computed properties:
- final energy (eV/atom) = -3.85
- magnetic moment (μB/cell) = 0.00
- ΔE_f (raw) (eV per atom) = 0.00

a b c (Å): 4.492 7.305 7.385
angles (deg): 62.55 85.97 75.72
Space group P-1 (No. 2)
One atom of each set of equivalent atoms:
Be (0.000, 0.000, 0.000)
Tl (0.000, 0.000, 0.500)
S (0.042, 0.810, 0.883)
S (0.253, 0.355, 0.703)
S (0.286, 0.348, 0.444)